Material: Mg2CoPb2
Method: DFT, PBE
State: relaxed

Unit cell a=7.997 b=7.997 c=7.997 alpha=148.89 beta=148.89 gamma=44.58
Fractional positions:
Mg 0.092 0.092 0.000
Mg 0.908 0.908 0.000
Co 0.500 0.500 0.000
Pb 0.250 0.750 0.500
Pb 0.750 0.250 0.500

Values from the calculation:
energy above the most stable polymorph in this dataset	0.432	eV/atom
space-group type	I4/mmm



Material: Mg2CoPb
Method: DFT, PBE
State: relaxed

Unit cell a=5.695 b=5.695 c=4.789 alpha=114.57 beta=114.57 gamma=34.58
Fractional positions:
Mg 0.000 0.000 0.000
Mg 0.207 0.207 0.707
Co 0.498 0.498 0.499
Pb 0.784 0.784 0.284

Values from the calculation:
space-group type	Cm



Material: Mg2CoPb
Method: DFT, PBE
State: relaxed

Unit cell a=3.411 b=3.411 c=6.779 alpha=90.00 beta=90.00 gamma=90.00
Fractional positions:
Mg 0.000 0.000 0.000
Mg 0.500 0.500 0.268
Co 0.500 0.500 0.818
Pb 0.000 0.000 0.575

Values from the calculation:
space-group type	P4mm



Material: Mg2CoPb
Method: DFT, PBE
State: relaxed

Unit cell a=3.229 b=3.229 c=7.522 alpha=90.00 beta=90.00 gamma=90.00
Fractional positions:
Mg 0.000 0.000 0.187
Mg 0.000 0.000 0.813
Co 0.500 0.500 0.000
Pb 0.500 0.500 0.500

Values from the calculation:
space-group type	P4/mmm



Material: Mg2CoPb2
Method: DFT, PBE
State: relaxed

Unit cell a=7.049 b=7.049 c=4.617 alpha=90.00 beta=90.00 gamma=90.00
Fractional positions:
Mg 0.160 0.340 0.000
Mg 0.340 0.840 0.000
Mg 0.660 0.160 0.000
Mg 0.840 0.660 0.000
Co 0.000 0.000 0.500
Co 0.500 0.500 0.500
Pb 0.158 0.658 0.500
Pb 0.342 0.158 0.500
Pb 0.658 0.842 0.500
Pb 0.842 0.342 0.500

Values from the calculation:
energy above the most stable polymorph in this dataset	0.000	eV/atom
space-group type	P4/mbm



Material: Mg2CoPb
Method: DFT, PBE
State: relaxed

Unit cell a=9.578 b=9.578 c=9.578 alpha=19.22 beta=19.22 gamma=19.22
Fractional positions:
Mg 0.233 0.233 0.233
Mg 0.767 0.767 0.767
Co 0.500 0.500 0.500
Pb 0.000 0.000 0.000

Values from the calculation:
space-group type	R-3m



Material: Mg2CoPb
Method: DFT, PBE
State: relaxed

Unit cell a=4.240 b=4.240 c=4.234 alpha=90.10 beta=90.10 gamma=90.24
Fractional positions:
Mg 0.000 0.500 0.000
Mg 0.500 0.000 0.000
Co 0.000 0.000 0.500
Pb 0.500 0.500 0.500

Values from the calculation:
space-group type	C2/m



Material: Mg2CoPb
Method: DFT, PBE
State: relaxed

Unit cell a=5.102 b=5.102 c=5.102 alpha=130.93 beta=130.93 gamma=71.92
Fractional positions:
Mg 0.000 0.000 0.000
Mg 0.750 0.250 0.500
Co 0.500 0.500 0.000
Pb 0.250 0.750 0.500

Values from the calculation:
space-group type	I-4m2



Material: MgCoRh2Pb
Method: DFT, PBE
State: relaxed

Unit cell a=4.574 b=4.574 c=4.597 alpha=90.00 beta=90.00 gamma=90.00
Fractional positions:
Mg 0.000 0.000 0.000
Co 0.000 0.000 0.500
Rh 0.000 0.500 0.500
Rh 0.500 0.000 0.500
Pb 0.500 0.500 0.000

Values from the calculation:
space-group type	P4/mmm



Material: MgSc2CoPb
Method: DFT, PBE
State: relaxed

Unit cell a=4.786 b=4.786 c=4.866 alpha=90.00 beta=90.00 gamma=90.00
Fractional positions:
Mg 0.000 0.000 0.000
Sc 0.000 0.500 0.500
Sc 0.500 0.000 0.500
Co 0.000 0.000 0.500
Pb 0.500 0.500 0.000

Values from the calculation:
space-group type	P4/mmm



Material: Mg2ScCoPb
Method: DFT, PBE
State: relaxed

Unit cell a=4.915 b=4.915 c=4.645 alpha=90.00 beta=90.00 gamma=90.00
Fractional positions:
Mg 0.000 0.500 0.000
Mg 0.500 0.000 0.000
Sc 0.000 0.000 0.500
Co 0.000 0.000 0.000
Pb 0.500 0.500 0.500

Values from the calculation:
space-group type	P4/mmm



Material: MgCoSn2Pb
Method: DFT, PBE
State: relaxed

Unit cell a=4.914 b=4.914 c=5.035 alpha=90.00 beta=90.00 gamma=90.00
Fractional positions:
Mg 0.000 0.000 0.000
Co 0.000 0.000 0.500
Sn 0.000 0.500 0.500
Sn 0.500 0.000 0.500
Pb 0.500 0.500 0.000

Values from the calculation:
space-group type	P4/mmm



Material: Mg2CoSnPb
Method: DFT, PBE
State: relaxed

Unit cell a=4.951 b=4.951 c=4.811 alpha=90.00 beta=90.00 gamma=90.00
Fractional positions:
Mg 0.000 0.500 0.000
Mg 0.500 0.000 0.000
Co 0.000 0.000 0.000
Sn 0.000 0.000 0.500
Pb 0.500 0.500 0.500

Values from the calculation:
space-group type	P4/mmm



Material: SrMg2CoPb
Method: DFT, PBE
State: relaxed

Unit cell a=5.009 b=5.009 c=5.049 alpha=90.00 beta=90.00 gamma=90.00
Fractional positions:
Sr 0.000 0.000 0.000
Mg 0.000 0.500 0.500
Mg 0.500 0.000 0.500
Co 0.500 0.500 0.500
Pb 0.500 0.500 0.000

Values from the calculation:
space-group type	P4/mmm



Material: MgCoTcPb2
Method: DFT, PBE
State: relaxed

Unit cell a=5.062 b=5.062 c=4.570 alpha=90.00 beta=90.00 gamma=90.00
Fractional positions:
Mg 0.000 0.000 0.000
Co 0.500 0.500 0.500
Tc 0.500 0.500 0.000
Pb 0.000 0.500 0.500
Pb 0.500 0.000 0.500

Values from the calculation:
space-group type	P4/mmm



Material: MgTiCo2Pb
Method: DFT, PBE
State: relaxed

Unit cell a=4.385 b=4.385 c=5.300 alpha=90.00 beta=90.00 gamma=90.00
Fractional positions:
Mg 0.000 0.000 0.000
Ti 0.500 0.500 0.500
Co 0.000 0.500 0.500
Co 0.500 0.000 0.500
Pb 0.500 0.500 0.000

Values from the calculation:
space-group type	P4/mmm



Material: MgTlCoPb2
Method: DFT, PBE
State: relaxed

Unit cell a=5.073 b=5.073 c=5.054 alpha=90.00 beta=90.00 gamma=90.00
Fractional positions:
Mg 0.000 0.000 0.000
Tl 0.500 0.500 0.000
Co 0.000 0.000 0.500
Pb 0.000 0.500 0.500
Pb 0.500 0.000 0.500

Values from the calculation:
space-group type	P4/mmm



Material: Mg2TlCoPb
Method: DFT, PBE
State: relaxed

Unit cell a=5.008 b=5.008 c=4.920 alpha=90.00 beta=90.00 gamma=90.00
Fractional positions:
Mg 0.000 0.500 0.000
Mg 0.500 0.000 0.000
Tl 0.000 0.000 0.500
Co 0.500 0.500 0.000
Pb 0.500 0.500 0.500

Values from the calculation:
space-group type	P4/mmm



Material: MgCo3Pd
Method: DFT, PBE
State: relaxed

Unit cell a=4.583 b=4.583 c=4.583 alpha=90.00 beta=90.00 gamma=90.00
Fractional positions:
Mg 0.000 0.000 0.000
Co 0.000 0.500 0.500
Co 0.500 0.000 0.500
Co 0.500 0.500 0.000
Pd 0.500 0.500 0.500

Values from the calculation:
energy above the most stable polymorph in this dataset	0.000	eV/atom
space-group type	Pm-3m



Material: Mg2CoPd9
Method: DFT, PBE
State: relaxed

Unit cell a=3.928 b=3.928 c=11.842 alpha=90.00 beta=90.00 gamma=90.00
Fractional positions:
Mg 0.000 0.000 0.168
Mg 0.000 0.000 0.832
Co 0.000 0.000 0.500
Pd 0.000 0.500 0.000
Pd 0.000 0.500 0.341
Pd 0.000 0.500 0.659
Pd 0.500 0.000 0.000
Pd 0.500 0.000 0.341
Pd 0.500 0.000 0.659
Pd 0.500 0.500 0.170
Pd 0.500 0.500 0.500
Pd 0.500 0.500 0.830

Values from the calculation:
space-group type	P4/mmm



Material: Mg2CoPd
Method: DFT, PBE
State: relaxed

Unit cell a=5.654 b=5.654 c=5.654 alpha=103.93 beta=103.93 gamma=121.23
Fractional positions:
Mg 0.121 0.625 0.996
Mg 0.375 0.371 0.496
Mg 0.629 0.125 0.004
Mg 0.875 0.879 0.504
Co 0.000 0.000 0.000
Co 0.750 0.250 0.500
Pd 0.250 0.750 0.500
Pd 0.500 0.500 0.000

Values from the calculation:
space-group type	I-42d



Material: MgCoPd3
Method: DFT, PBE
State: relaxed

Unit cell a=4.593 b=4.593 c=4.593 alpha=90.00 beta=90.00 gamma=90.00
Fractional positions:
Mg 0.000 0.000 0.000
Co 0.500 0.500 0.500
Pd 0.000 0.500 0.500
Pd 0.500 0.000 0.500
Pd 0.500 0.500 0.000

Values from the calculation:
energy above the most stable polymorph in this dataset	0.000	eV/atom
space-group type	Pm-3m



Material: Mg3CoPd
Method: DFT, PBE
State: relaxed

Unit cell a=4.649 b=4.649 c=4.649 alpha=90.00 beta=90.00 gamma=90.00
Fractional positions:
Mg 0.000 0.000 0.500
Mg 0.000 0.500 0.000
Mg 0.500 0.000 0.000
Co 0.000 0.000 0.000
Pd 0.500 0.500 0.500

Values from the calculation:
energy above the most stable polymorph in this dataset	0.000	eV/atom
space-group type	Pm-3m



Material: Mg3CoPd12
Method: DFT, PBE
State: relaxed

Unit cell a=3.945 b=3.945 c=15.767 alpha=90.00 beta=90.00 gamma=90.00
Fractional positions:
Mg 0.000 0.000 0.000
Mg 0.000 0.000 0.253
Mg 0.000 0.000 0.747
Co 0.000 0.000 0.500
Pd 0.000 0.500 0.127
Pd 0.000 0.500 0.381
Pd 0.000 0.500 0.619
Pd 0.000 0.500 0.873
Pd 0.500 0.000 0.127
Pd 0.500 0.000 0.381
Pd 0.500 0.000 0.619
Pd 0.500 0.000 0.873
Pd 0.500 0.500 0.000
Pd 0.500 0.500 0.254
Pd 0.500 0.500 0.500
Pd 0.500 0.500 0.746

Values from the calculation:
space-group type	P4/mmm



Material: Mg2CoPd
Method: DFT, PBE
State: relaxed

Unit cell a=3.094 b=3.094 c=6.241 alpha=90.00 beta=90.00 gamma=90.00
Fractional positions:
Mg 0.000 0.000 0.237
Mg 0.000 0.000 0.763
Co 0.500 0.500 0.000
Pd 0.500 0.500 0.500

Values from the calculation:
space-group type	P4/mmm



Material: PmMgCoPd
Method: DFT, PBE
State: relaxed

Unit cell a=4.736 b=4.736 c=4.736 alpha=60.00 beta=60.00 gamma=60.00
Fractional positions:
Pm 0.000 0.000 0.000
Mg 0.500 0.500 0.500
Co 0.250 0.250 0.250
Pd 0.750 0.750 0.750

Values from the calculation:
space-group type	F-43m



Material: MgCoPdPt
Method: DFT, PBE
State: relaxed

Unit cell a=4.362 b=4.362 c=4.362 alpha=60.00 beta=60.00 gamma=60.00
Fractional positions:
Mg 0.000 0.000 0.000
Co 0.500 0.500 0.500
Pd 0.250 0.250 0.250
Pt 0.750 0.750 0.750

Values from the calculation:
space-group type	F-43m



Material: MgCoRe2Pd
Method: DFT, PBE
State: relaxed

Unit cell a=4.516 b=4.516 c=4.113 alpha=90.00 beta=90.00 gamma=90.00
Fractional positions:
Mg 0.000 0.000 0.000
Co 0.000 0.000 0.500
Re 0.000 0.500 0.000
Re 0.500 0.000 0.000
Pd 0.500 0.500 0.500

Values from the calculation:
space-group type	P4/mmm



no.,ΔE_f (eV per atom)
1,0.71
2,0.18
3,0.18
4,0.11
5,0.27
6,0.22
7,0.20
8,0.19
9,0.46
10,-0.13
11,0.02
12,0.06
13,0.08
14,-0.06
15,0.78
16,0.83
17,0.14
18,0.11
19,1.12
20,-0.29
21,0.15
22,0.41
23,0.35
24,-0.34
25,-0.25
26,-0.26
27,-0.30
28,2.19